## w
# SmTh2Se5

A geometry-optimized SmTh2Se5 structure (GGA-PBE, the Alexandria database).

Properties
Its spin magnetization is 0.00 μB per formula unit. The value obtained for the mass density is 7820 kg/m³.

Cell lengths 8.1444, 12.7992, 4.1117 Å; angles 90.00, 90.00, 90.00 degrees
Sites, in units of the cell vectors:
1 Sm 0.0000 0.0000 0.0000
2 Sm 0.5000 0.5000 0.0000
3 Th 0.0187 0.3223 0.5000
4 Th 0.4813 0.8223 0.5000
5 Th 0.5187 0.1777 0.5000
6 Th 0.9813 0.6777 0.5000
7 Se 0.0000 0.5000 0.0000
8 Se 0.1693 0.1099 0.5000
9 Se 0.1870 0.8036 0.0000
10 Se 0.3130 0.3036 0.0000
11 Se 0.3307 0.6099 0.5000
12 Se 0.5000 0.0000 0.0000
13 Se 0.6693 0.3901 0.5000
14 Se 0.6870 0.6964 0.0000
15 Se 0.8130 0.1964 0.0000
16 Se 0.8307 0.8901 0.5000

---

## x
# SmTh2Se5

A geometry-optimized SmTh2Se5 structure (GGA-PBE, the Alexandria database).

Properties
Its spin magnetization is 0.00 μB per formula unit. The value obtained for the mass density is 6093 kg/m³.

Cell lengths 7.2858, 7.2858, 14.1493 Å; angles 90.00, 90.00, 132.91 degrees
Sites, in units of the cell vectors:
1 Sm 0.2166 0.7834 0.7500
2 Sm 0.7834 0.2166 0.2500
3 Th 0.1530 0.8470 0.0565
4 Th 0.1530 0.8470 0.4435
5 Th 0.8470 0.1530 0.5565
6 Th 0.8470 0.1530 0.9435
7 Se 0.0497 0.9503 0.6216
8 Se 0.0497 0.9503 0.8784
9 Se 0.2422 0.7578 0.2500
10 Se 0.3347 0.6653 0.5699
11 Se 0.3347 0.6653 0.9301
12 Se 0.6653 0.3347 0.0699
13 Se 0.6653 0.3347 0.4301
14 Se 0.7578 0.2422 0.7500
15 Se 0.9503 0.0497 0.1216
16 Se 0.9503 0.0497 0.3784

---

Energy above the most stable structure, in meV per atom: w 0; x 32

---

## w
# SmTh2Se4

A geometry-optimized SmTh2Se4 structure (GGA-PBE, the Alexandria database).

Properties
Its spin magnetization is 0.00 μB per formula unit. The value obtained for the mass density is 8880 kg/m³.

Cell lengths 7.6745, 7.6745, 7.6745 Å; angles 109.83, 109.83, 108.75 degrees
Sites, in units of the cell vectors:
1 Sm 0.0000 0.0000 0.0000
2 Sm 0.7500 0.2500 0.5000
3 Th 0.2527 0.6250 0.1277
4 Th 0.3750 0.5027 0.6277
5 Th 0.4973 0.1250 0.8723
6 Th 0.8750 0.7473 0.3723
7 Se 0.1221 0.2196 0.7473
8 Se 0.1248 0.7224 0.7527
9 Se 0.2776 0.0304 0.4024
10 Se 0.4724 0.3748 0.2527
11 Se 0.6252 0.8779 0.0976
12 Se 0.6279 0.8752 0.5976
13 Se 0.7804 0.5276 0.9024
14 Se 0.9696 0.3721 0.2473

---

## x
# SmTh2Se4

A geometry-optimized SmTh2Se4 structure (GGA-PBE, the Alexandria database).

Properties
Its spin magnetization is 0.00 μB per formula unit. The value obtained for the mass density is 7822 kg/m³.

Cell lengths 7.0844, 7.0844, 14.5227 Å; angles 90.00, 90.00, 147.19 degrees
Sites, in units of the cell vectors:
1 Sm 0.1144 0.8856 0.7500
2 Sm 0.8856 0.1144 0.2500
3 Th 0.3565 0.6435 0.5648
4 Th 0.3565 0.6435 0.9352
5 Th 0.6435 0.3565 0.0648
6 Th 0.6435 0.3565 0.4352
7 Se 0.0000 0.0000 0.0000
8 Se 0.0000 0.0000 0.5000
9 Se 0.2887 0.7113 0.1312
10 Se 0.2887 0.7113 0.3688
11 Se 0.4537 0.5463 0.7500
12 Se 0.5463 0.4537 0.2500
13 Se 0.7113 0.2887 0.6312
14 Se 0.7113 0.2887 0.8688

---

Energy above the most stable structure, in meV per atom: w 0; x 20

---

## w
# SmTmSe2

A geometry-optimized SmTmSe2 structure (GGA-PBE, the Alexandria database).

Properties
Its spin magnetization is 0.00 μB per formula unit. The value obtained for the mass density is 6077 kg/m³.

Cell lengths 4.1318, 4.1318, 26.4605 Å; angles 90.00, 90.00, 120.00 degrees
Sites, in units of the cell vectors:
1 Sm 0.0000 0.0000 0.0000
2 Sm 0.3333 0.6667 0.6667
3 Sm 0.6667 0.3333 0.3333
4 Tm 0.0000 0.0000 0.5000
5 Tm 0.3333 0.6667 0.1667
6 Tm 0.6667 0.3333 0.8333
7 Se 0.0000 0.0000 0.3962
8 Se 0.0000 0.0000 0.6038
9 Se 0.3333 0.6667 0.0629
10 Se 0.3333 0.6667 0.2704
11 Se 0.6667 0.3333 0.7296
12 Se 0.6667 0.3333 0.9371

---

## x
# SmTmSe2

A geometry-optimized SmTmSe2 structure (GGA-PBE, the Alexandria database).

Properties
Its spin magnetization is 0.00 μB per formula unit. The value obtained for the mass density is 8067 kg/m³.

Cell lengths 3.9578, 3.9578, 21.7229 Å; angles 90.00, 90.00, 120.00 degrees
Sites, in units of the cell vectors:
1 Sm 0.0000 0.0000 0.0000
2 Sm 0.3333 0.6667 0.6667
3 Sm 0.6667 0.3333 0.3333
4 Tm 0.0000 0.0000 0.8236
5 Tm 0.3333 0.6667 0.4903
6 Tm 0.6667 0.3333 0.1569
7 Se 0.0000 0.0000 0.4146
8 Se 0.0000 0.0000 0.5758
9 Se 0.3333 0.6667 0.0812
10 Se 0.3333 0.6667 0.2425
11 Se 0.6667 0.3333 0.7479
12 Se 0.6667 0.3333 0.9091

---

Energy above the most stable structure, in meV per atom: w 389; x 0

---

## w
# Sm2TmSe

A geometry-optimized Sm2TmSe structure (GGA-PBE, the Alexandria database).

Properties
Its spin magnetization is 0.00 μB per formula unit. The value obtained for the mass density is 7088 kg/m³.

Cell lengths 3.7979, 3.7979, 30.8667 Å; angles 90.00, 90.00, 120.00 degrees
Sites, in units of the cell vectors:
1 Sm 0.0000 0.0000 0.1075
2 Sm 0.0000 0.0000 0.8925
3 Sm 0.3333 0.6667 0.5592
4 Sm 0.3333 0.6667 0.7742
5 Sm 0.6667 0.3333 0.2258
6 Sm 0.6667 0.3333 0.4408
7 Tm 0.0000 0.0000 0.0000
8 Tm 0.3333 0.6667 0.6667
9 Tm 0.6667 0.3333 0.3333
10 Se 0.0000 0.0000 0.5000
11 Se 0.3333 0.6667 0.1667
12 Se 0.6667 0.3333 0.8333

---

## x
# Sm2TmSe

A geometry-optimized Sm2TmSe structure (GGA-PBE, the Alexandria database).

Properties
Its spin magnetization is 0.00 μB per formula unit. The value obtained for the mass density is 7979 kg/m³.

Cell lengths 3.6510, 3.6510, 8.5654 Å; angles 90.00, 90.00, 90.00 degrees
Sites, in units of the cell vectors:
1 Sm 0.0000 0.0000 0.2096
2 Sm 0.0000 0.0000 0.7904
3 Tm 0.5000 0.5000 0.5000
4 Se 0.5000 0.5000 0.0000

---

Energy above the most stable structure, in meV per atom: w 149; x 0